Below is a relaxed structure of K6Rb23Hg, with properties calculated at the PBE level.

Energy of formation (eV/f.u.): 1.21
Volume (Å³/f.u.): 2645
Energy (eV/atom): -0.93

abc: 15.5237 15.5237 15.5237
angles: 60.00 60.00 60.00
Sites, in units of the cell vectors:
Rb: 0.9798 0.3401 0.3401
Rb: 0.6432 0.1189 0.1189
Rb: 0.1189 0.1189 0.1189
Rb: 0.0000 0.0000 0.5000
Rb: 0.3401 0.3401 0.9798
Rb: 0.8811 0.3568 0.8811
Rb: 0.1189 0.1189 0.6432
Rb: 0.5000 0.0000 0.5000
Rb: 0.3568 0.8811 0.8811
Rb: 0.6599 0.6599 0.0202
Rb: 0.8811 0.8811 0.3568
Rb: 0.1189 0.6432 0.1189
Rb: 0.0000 0.5000 0.0000
Rb: 0.3401 0.3401 0.3401
Rb: 0.5000 0.5000 0.0000
Rb: 0.6599 0.6599 0.6599
Rb: 0.6599 0.0202 0.6599
Rb: 0.0202 0.6599 0.6599
Rb: 0.8811 0.8811 0.8811
Rb: 0.0000 0.0000 0.0000
Rb: 0.3401 0.9798 0.3401
Rb: 0.5000 0.0000 0.0000
Rb: 0.0000 0.5000 0.5000
K: 0.6702 0.3298 0.6702
K: 0.3298 0.3298 0.6702
K: 0.6702 0.3298 0.3298
K: 0.3298 0.6702 0.6702
K: 0.3298 0.6702 0.3298
K: 0.6702 0.6702 0.3298
Hg: 0.5000 0.5000 0.5000

---

Below is a relaxed structure of LaAlO3, with properties calculated at the PBE level.

Volume (Å³/f.u.): 69
Energy (eV/atom): -7.85
Raw formation energy (eV per formula unit): -15.714

abc: 3.3990 6.1715 6.8220
angles: 90.00 104.43 90.00
Sites, in units of the cell vectors:
O: 0.5130 0.7500 0.5262
O: 0.4870 0.2500 0.4738
O: 0.8432 0.4761 0.1863
O: 0.8432 0.0239 0.1863
O: 0.1568 0.5239 0.8137
O: 0.1568 0.9761 0.8137
Al: 0.0720 0.7500 0.6441
Al: 0.9280 0.2500 0.3559
La: 0.3246 0.7500 0.1490
La: 0.6754 0.2500 0.8510

---

Below is a relaxed structure of SrMg3Hg9, with properties calculated at the PBE level.

Energy of formation (eV/f.u.): -2.63
Volume (Å³/f.u.): 318
Energy (eV/atom): -0.91

abc: 6.2216 7.7214 7.8875
angles: 80.80 66.77 66.09
Sites, in units of the cell vectors:
Hg: 0.5223 0.2151 0.7811
Hg: 0.3393 0.6665 0.6529
Hg: 0.6607 0.3335 0.3471
Hg: 0.0077 0.3335 0.6529
Hg: 0.4777 0.7849 0.2189
Hg: 0.3033 0.2151 0.2189
Hg: 0.6967 0.7849 0.7811
Hg: 0.0000 0.5000 0.0000
Hg: 0.9923 0.6665 0.3471
Sr: 0.0000 0.0000 0.0000
Mg: 0.5000 0.5000 0.0000
Mg: 0.5000 0.0000 0.5000
Mg: 0.0000 0.0000 0.5000

---

Below is a relaxed structure of Pm4Pd3Au5, with properties calculated at the PBE level.

Energy of formation (eV/f.u.): -7.57
Volume (Å³/f.u.): 277
Energy (eV/atom): -4.88

abc: 5.2286 9.4020 9.1316
angles: 40.36 73.36 73.86
Sites, in units of the cell vectors:
Au: 0.1418 0.5787 0.1378
Au: 0.4246 0.1639 0.9869
Au: 0.5000 0.5000 0.5000
Au: 0.8582 0.4213 0.8622
Au: 0.5754 0.8361 0.0131
Pm: 0.1026 0.0700 0.7249
Pm: 0.3063 0.6354 0.7521
Pm: 0.8974 0.9300 0.2751
Pm: 0.6937 0.3646 0.2479
Pd: 0.0000 0.5000 0.5000
Pd: 0.7319 0.8822 0.6540
Pd: 0.2681 0.1178 0.3460

---

Below is a relaxed structure of Cs2TlSnBi2, with properties calculated at the PBE level.

Energy of formation (eV/f.u.): -1.71
Volume (Å³/f.u.): 276
Energy (eV/atom): -2.92

abc: 8.0120 8.0961 10.2364
angles: 113.29 113.04 90.00
Sites, in units of the cell vectors:
Tl: 0.2500 0.0000 0.0000
Tl: 0.7500 0.0000 0.0000
Bi: 0.4106 0.6441 0.8212
Bi: 0.5894 0.3559 0.1788
Bi: 0.9106 0.1771 0.8212
Bi: 0.0894 0.8229 0.1788
Sn: 0.7500 0.5000 0.0000
Sn: 0.2500 0.5000 0.0000
Cs: 0.3343 0.0788 0.6686
Cs: 0.1657 0.4102 0.3314
Cs: 0.8343 0.5898 0.6686
Cs: 0.6657 0.9212 0.3314

---

Below is a relaxed structure of UInCl5, with properties calculated at the PBE level.

Volume (Å³/f.u.): 262
Energy (eV/atom): -4.79
Raw formation energy (eV per formula unit): -10.278

abc: 7.4274 7.4274 10.6889
angles: 72.73 72.73 72.91
Each line ends with the local moment (μB).
Sites, in units of the cell vectors:
In: 0.4713 0.5287 0.7500  -0.01
In: 0.5287 0.4713 0.2500  -0.01
Cl: 0.8290 0.7176 0.5867  -0.03
Cl: 0.2824 0.1710 0.9133  -0.03
Cl: 0.6683 0.2412 0.5577  -0.03
Cl: 0.1710 0.2824 0.4133  -0.03
Cl: 0.2412 0.6683 0.0577  -0.03
Cl: 0.0672 0.9328 0.7500  -0.02
Cl: 0.9328 0.0672 0.2500  -0.02
Cl: 0.7588 0.3317 0.9423  -0.03
Cl: 0.7176 0.8290 0.0867  -0.03
Cl: 0.3317 0.7588 0.4423  -0.03
U: 0.0000 0.0000 0.0000  2.07
U: 0.0000 0.0000 0.5000  2.07